# 1
{"formula": "Ti2In3Pd4", "functional": "GGA-PBE", "state": "optimized geometry", "cell": [[3.9846, -2.3144, 0.0000], [3.9846, 2.3144, 0.0000], [-0.0635, 0.0000, 8.5557]], "species": ["Ti", "Ti", "In", "In", "In", "Pd", "Pd", "Pd", "Pd"], "frac_coords": [[0.1665, 0.1665, 0.2873], [0.8335, 0.8335, 0.7127], [0.1671, 0.1671, 0.9216], [0.5000, 0.5000, 0.5000], [0.8329, 0.8329, 0.0784], [0.1665, 0.1665, 0.6011], [0.4988, 0.4988, 0.1709], [0.5012, 0.5012, 0.8291], [0.8335, 0.8335, 0.3989]], "space_group": "C2/m (12)", "magnetic_moment_mub_per_cell": 0.00, "mass_density_g_cm3": 9.111, "delta_e_f_ev_per_fu": -3.95}

---

# 2
{"formula": "TiIn2Pd6", "functional": "GGA-PBE", "state": "optimized geometry", "cell": [[7.1168, -3.7372, 0.0000], [7.1168, 3.7372, 0.0000], [-0.6336, 0.0000, 2.9503]], "species": ["Ti", "In", "In", "Pd", "Pd", "Pd", "Pd", "Pd", "Pd"], "frac_coords": [[0.0000, 0.0000, 0.0000], [0.3346, 0.3346, 0.3353], [0.6654, 0.6654, 0.6647], [0.0250, 0.6491, 0.8374], [0.2886, 0.7114, 0.5000], [0.3509, 0.9750, 0.1626], [0.6491, 0.0250, 0.8374], [0.7114, 0.2886, 0.5000], [0.9750, 0.3509, 0.1626]], "space_group": "C2/m (12)", "magnetic_moment_mub_per_cell": 0.00, "mass_density_g_cm3": 9.692, "delta_e_f_ev_per_fu": -3.50}

---

# 3
{"formula": "TiIn2Pd5", "functional": "GGA-PBE", "state": "optimized geometry", "cell": [[-2.0785, 2.0785, 7.6458], [2.0785, -2.0785, 7.6458], [2.0785, 2.0785, -7.6458]], "species": ["Ti", "In", "In", "Pd", "Pd", "Pd", "Pd", "Pd"], "frac_coords": [[0.0000, 0.0000, 0.0000], [0.2554, 0.2554, 0.0000], [0.7446, 0.7446, 0.0000], [0.1197, 0.6197, 0.5000], [0.3803, 0.8803, 0.5000], [0.5000, 0.5000, 0.0000], [0.6197, 0.1197, 0.5000], [0.8803, 0.3803, 0.5000]], "space_group": "I4/mmm (139)", "magnetic_moment_mub_per_cell": 0.00, "mass_density_g_cm3": 10.175, "delta_e_f_ev_per_fu": -4.14}

---

# 4
{"formula": "Ti5InPd3", "functional": "GGA-PBE", "state": "optimized geometry", "cell": [[7.9265, 0.0000, 0.0000], [-3.9632, 6.8645, 0.0000], [0.0000, 0.0000, 5.6109]], "species": ["Ti", "Ti", "Ti", "Ti", "Ti", "Ti", "Ti", "Ti", "Ti", "Ti", "In", "In", "Pd", "Pd", "Pd", "Pd", "Pd", "Pd"], "frac_coords": [[0.0000, 0.3496, 0.2500], [0.0000, 0.6504, 0.7500], [0.3333, 0.6667, 0.0000], [0.3333, 0.6667, 0.5000], [0.3496, 0.0000, 0.2500], [0.3496, 0.3496, 0.7500], [0.6504, 0.0000, 0.7500], [0.6504, 0.6504, 0.2500], [0.6667, 0.3333, 0.0000], [0.6667, 0.3333, 0.5000], [0.0000, 0.0000, 0.0000], [0.0000, 0.0000, 0.5000], [0.0000, 0.3311, 0.7500], [0.0000, 0.6689, 0.2500], [0.3311, 0.0000, 0.7500], [0.3311, 0.3311, 0.2500], [0.6689, 0.0000, 0.2500], [0.6689, 0.6689, 0.7500]], "space_group": "P6_3/mcm (193)", "magnetic_moment_mub_per_cell": 8.36, "mass_density_g_cm3": 7.325, "delta_e_f_ev_per_fu": -3.02}

---

# 5
{"formula": "Ti4InPd", "functional": "GGA-PBE", "state": "optimized geometry", "cell": [[6.4816, -2.5617, 0.0000], [6.4816, 2.5617, 0.0000], [-3.4313, 0.0000, 6.3329]], "species": ["Ti", "Ti", "Ti", "Ti", "Ti", "Ti", "Ti", "Ti", "In", "In", "Pd", "Pd"], "frac_coords": [[0.0607, 0.7770, 0.8325], [0.1280, 0.5146, 0.4057], [0.2230, 0.9393, 0.6675], [0.4854, 0.8720, 0.0943], [0.5146, 0.1280, 0.9057], [0.7770, 0.0607, 0.3325], [0.8720, 0.4854, 0.5943], [0.9393, 0.2230, 0.1675], [0.3578, 0.6422, 0.2500], [0.6422, 0.3578, 0.7500], [0.0000, 0.5000, 0.0000], [0.5000, 0.0000, 0.5000]], "e_above_lowest_polymorph_kj_per_mol_atoms": 13.8, "space_group": "C2/c (15)", "magnetic_moment_mub_per_cell": 0.00, "mass_density_g_cm3": 6.518, "delta_e_f_ev_per_fu": -0.84}

---

# 6
{"formula": "Ti3InPd4", "functional": "GGA-PBE", "state": "optimized geometry", "cell": [[-2.5916, 5.2259, 3.2470], [2.5916, -5.2259, 3.2470], [2.5916, 5.2259, -3.2470]], "species": ["Ti", "Ti", "Ti", "In", "Pd", "Pd", "Pd", "Pd"], "frac_coords": [[0.0000, 0.0000, 0.0000], [0.2486, 0.6061, 0.6425], [0.9636, 0.6061, 0.3575], [0.7202, 0.2202, 0.5000], [0.3465, 0.1014, 0.7549], [0.3465, 0.5916, 0.2451], [0.5451, 0.6776, 0.8675], [0.8101, 0.6776, 0.1325]], "e_above_lowest_polymorph_kj_per_mol_atoms": 62.2, "space_group": "Imm2 (44)", "magnetic_moment_mub_per_cell": 0.71, "mass_density_g_cm3": 6.458, "delta_e_f_ev_per_fu": 1.08}

---

# 7
{"formula": "TiIn2Pd", "functional": "GGA-PBE", "state": "optimized geometry", "cell": [[1.5653, 0.9037, 9.0998], [-1.5653, 0.9037, 9.0998], [0.0000, -1.8075, 9.0998]], "species": ["Ti", "In", "In", "Pd"], "frac_coords": [[0.0000, 0.0000, 0.0000], [0.5790, 0.5790, 0.5790], [0.7537, 0.7537, 0.7537], [0.1665, 0.1665, 0.1665]], "space_group": "R3m (160)", "magnetic_moment_mub_per_cell": 0.00, "mass_density_g_cm3": 8.255, "delta_e_f_ev_per_fu": -0.74}

---

# 8
{"formula": "TiIn2Pd", "functional": "GGA-PBE", "state": "optimized geometry", "cell": [[4.2951, 0.0000, 0.0000], [0.0000, 4.2951, 0.0000], [0.0000, 0.0000, 4.0527]], "species": ["Ti", "In", "In", "Pd"], "frac_coords": [[0.0000, 0.0000, 0.0000], [0.0000, 0.5000, 0.5000], [0.5000, 0.0000, 0.5000], [0.5000, 0.5000, 0.0000]], "space_group": "P4/mmm (123)", "magnetic_moment_mub_per_cell": 0.00, "mass_density_g_cm3": 8.527, "delta_e_f_ev_per_fu": -1.17}